This record from the Alexandria database describes a relaxed Rb4Pu3BiSe8 crystal. The functional is PBE.

```
Rb4Pu3BiSe8
1.0
-2.4347 -0.1652 -8.3209
8.0149 -4.3701 -2.2584
-4.9972 -3.6868 6.0537
Rb Pu Bi Se
4 3 1 8
Direct
0.5000 0.0000 0.0000
0.5000 0.0000 0.5000
0.0000 0.0000 0.0000
0.0000 0.0000 0.5000
0.5000 0.5000 0.0000
0.5000 0.5000 0.5000
0.0000 0.5000 0.5000
0.0000 0.5000 0.0000
0.2352 0.6978 0.9627
0.2351 0.6978 0.4703
0.2690 0.3069 0.5379
0.7275 0.6978 0.9627
0.2725 0.3022 0.0373
0.7310 0.6931 0.4621
0.7649 0.3022 0.5297
0.7648 0.3022 0.0373
```

Calculated values
As for the volume: 32.4 A^3/atom. The calculation puts the uncorrected formation energy at -1.275 eV per atom.